Material: ScV2Pt2
Method: DFT, PBE-GGA
State: optimized geometry

```
ScV2Pt2
1.0
-0.581 -2.280 2.584
2.661 -1.962 -1.133
5.294 1.337 4.732
Sc Pt V
1 2 2
Cartesian
0.000 0.000 0.000
1.896 -1.425 1.532
5.478 -1.480 4.651
2.877 -1.532 4.021
4.497 -1.373 2.162
```

Energy relative to the elements   -0.50 eV per atom
Size of the total moment   0.00 μB per atom
DOS(E_F)   3.0 states/eV/f.u.
E   -7.83 eV/atom